First-principles (PBE with a Hubbard U) data for a relaxed structure of Ni3RuF, as listed in the Alexandria database.

The structure in CIF format:
```
data_Ni3RuF
_chemical_formula_sum 'Ni3 Ru1 F1'
_symmetry_space_group_name_H-M 'P m -3 m'
_symmetry_Int_Tables_number 221
_symmetry_space_group_name_Hall '-P 4 2 3'
_cell_length_a 4.670
_cell_length_b 4.670
_cell_length_c 4.670
_cell_angle_alpha 90.00
_cell_angle_beta 90.00
_cell_angle_gamma 90.00
loop_
_atom_site_label
_atom_site_type_symbol
_atom_site_fract_x
_atom_site_fract_y
_atom_site_fract_z
Ni1 Ni 0.000 0.000 0.500
Ru1 Ru 0.000 0.000 0.000
F1 F 0.500 0.500 0.500
```

## Properties
* raw total energy: -2.281 eV per atom
* V: 102 Å³/cell
* magnetization: 5.2 μB/f.u.